[1]
# CaTcN2

A PBEsol-optimized structure of CaTcN2 (meta-GGA SCAN, Alexandria via LeMat-Bulk).

Results
E_form (uncorrected)   -0.59 eV per atom
SG   I-42d
Energy   -131.4 eV for the cell shown

Unit cell a=4.8544 b=4.8544 c=6.0048 alpha=113.84 beta=113.84 gamma=90.00
Closest atoms and distances in Å follow each position.
Fractional coordinates of all 8 atoms:
Ca 0.7500 0.2500 0.5000  4 N 2.38
Ca 0.5000 0.5000 0.0000  4 N 2.38
Tc 0.2500 0.7500 0.5000  4 N 1.90
Tc 0.0000 0.0000 0.0000  4 N 1.90
N 0.2890 0.8750 0.2500  2 Tc 1.90
N 0.9610 0.3750 0.2500  2 Tc 1.90
N 0.1250 0.0390 0.7500  2 Tc 1.90
N 0.6250 0.7110 0.7500  2 Tc 1.90



[2]
# Cu2Pt

A PBEsol-optimized structure of Cu2Pt (meta-GGA SCAN, Alexandria via LeMat-Bulk).

Results
E_form   -9.9 kJ/mol of atoms
E above lowest polymorph   6.0 kJ/mol of atoms
SG   P2_1/m
Energy   -403.6 eV for the cell shown

Unit cell a=2.7177 b=6.4004 c=8.7682 alpha=97.00 beta=90.00 gamma=90.00
Closest atoms and distances in Å follow each position.
Fractional coordinates of all 12 atoms:
Cu 0.2500 0.2944 0.2060  5 Cu 2.43-2.58, 4 Pt 2.58-2.61
Cu 0.7500 0.9796 0.1179  11 Cu 2.47-2.72, 1 Pt 2.63
Cu 0.2500 0.6650 0.0176  7 Cu 2.43-2.69, 2 Pt 2.57
Cu 0.7500 0.3350 0.9824  7 Cu 2.43-2.69, 2 Pt 2.57
Cu 0.2500 0.0204 0.8821  11 Cu 2.47-2.72, 1 Pt 2.63
Cu 0.7500 0.7056 0.7940  5 Cu 2.43-2.58, 4 Pt 2.58-2.61
Cu 0.7500 0.0181 0.6333  7 Cu 2.57-2.72, 5 Pt 2.58-2.62
Cu 0.2500 0.9819 0.3667  7 Cu 2.57-2.72, 5 Pt 2.58-2.62
Pt 0.2500 0.3564 0.7359  7 Cu 2.57-2.63, 5 Pt 2.72-2.86
Pt 0.2500 0.6841 0.5419  5 Cu 2.58-2.59, 7 Pt 2.72-2.86
Pt 0.7500 0.3159 0.4581  5 Cu 2.58-2.59, 7 Pt 2.72-2.86
Pt 0.7500 0.6436 0.2641  7 Cu 2.57-2.63, 5 Pt 2.72-2.86



[3]
# U8MnS17

A PBEsol-optimized structure of U8MnS17 (meta-GGA SCAN, Alexandria via LeMat-Bulk).

Results
E_form (uncorrected)   -1.44 eV per atom
SG   C2/m
Energy   -1047.5 eV for the cell shown

Unit cell a=7.6339 b=7.6339 c=10.1495 alpha=80.18 beta=80.18 gamma=64.62
Closest atoms and distances in Å follow each position.
Fractional coordinates of all 26 atoms:
U 0.6945 0.1802 0.7004  8 S 2.70-2.84
U 0.1802 0.6945 0.7004  8 S 2.70-2.84
U 0.3055 0.8198 0.2996  8 S 2.70-2.84
U 0.8198 0.3055 0.2996  8 S 2.70-2.84
U 0.2033 0.2033 0.5463  8 S 2.68-2.76
U 0.7967 0.7967 0.4537  8 S 2.68-2.76
U 0.6817 0.6817 0.9817  8 S 2.63-2.91
U 0.3183 0.3183 0.0183  8 S 2.63-2.91
Mn 0.0000 0.0000 0.0000  6 S 2.26-2.38
S 0.4350 0.8173 0.5376  4 U 2.69-2.76
S 0.8173 0.4350 0.5376  4 U 2.69-2.76
S 0.5650 0.1827 0.4624  4 U 2.69-2.76
S 0.1827 0.5650 0.4624  4 U 2.69-2.76
S 0.6772 0.0547 0.9709  1 Mn 2.38, 1 U 2.63
S 0.0547 0.6772 0.9709  1 Mn 2.38, 1 U 2.63
S 0.3228 0.9453 0.0291  1 Mn 2.38, 1 U 2.63
S 0.9453 0.3228 0.0291  1 Mn 2.38, 1 U 2.63
S 0.0555 0.0555 0.7739  1 Mn 2.26
S 0.9445 0.9445 0.2261  1 Mn 2.26
S 0.2160 0.2160 0.2799  4 U 2.68-2.78
S 0.7840 0.7840 0.7201  4 U 2.68-2.78
S 0.2973 0.2973 0.7590  4 U 2.68-2.76
S 0.7027 0.7027 0.2410  4 U 2.68-2.76
S 0.5209 0.5209 0.8301  4 U 2.81-2.91, 1 S 3.11
S 0.4791 0.4791 0.1699  4 U 2.81-2.91, 1 S 3.11
S 0.0000 0.0000 0.5000  6 U 2.76-2.84, 6 S 3.01-3.07



[4]
# SrTeIr

A PBEsol-optimized structure of SrTeIr (meta-GGA SCAN, Alexandria via LeMat-Bulk).

Results
E_form (uncorrected)   -0.29 eV per atom
E above lowest polymorph   48.2 kJ/mol of atoms
SG   I4mm
Energy   -131.5 eV for the cell shown

Unit cell a=3.6856 b=3.6856 c=6.0543 alpha=107.72 beta=107.72 gamma=90.00
Closest atoms and distances in Å follow each position.
Fractional coordinates of all 3 atoms:
Ir 0.0488 0.0488 0.0977  4 Te 2.71
Sr 0.3339 0.3339 0.6679  1 Te 3.10, 1 Ir 3.12
Te 0.6172 0.6172 0.2345  4 Ir 2.71



[5]
# BeRu2Br

A PBEsol-optimized structure of BeRu2Br (meta-GGA SCAN, Alexandria via LeMat-Bulk).

Results
E_form (uncorrected)   0.73 eV per atom
SG   Immm
Energy   -90.5 eV for the cell shown

Unit cell a=3.0060 b=4.5558 c=4.7675 alpha=118.54 beta=108.38 gamma=90.00
Closest atoms and distances in Å follow each position.
Fractional coordinates of all 4 atoms:
Ru 0.7111 0.7111 0.4223  2 Be 2.23
Ru 0.2889 0.2889 0.5777  2 Be 2.23
Br 0.5000 0.0000 0.0000  8 Ru 2.71-2.81, 4 Be 2.73, 2 Br 3.01
Be 0.0000 0.5000 0.0000  4 Ru 2.23



[6]
# Ba3BrO

A PBEsol-optimized structure of Ba3BrO (meta-GGA SCAN, Alexandria via LeMat-Bulk).

Results
E_form (uncorrected)   -0.27 eV per atom
SG   Pm-3m
Energy   -145.7 eV for the cell shown

Unit cell a=5.9994 b=5.9994 c=5.9994 alpha=90.00 beta=90.00 gamma=90.00
Closest atoms and distances in Å follow each position.
Fractional coordinates of all 5 atoms:
O 0.5000 0.5000 0.5000  12 Ba 4.24
Ba 0.0000 0.5000 0.0000  2 Br 3.00
Ba 0.0000 0.0000 0.5000  2 Br 3.00
Ba 0.5000 0.0000 0.0000  2 Br 3.00
Br 0.0000 0.0000 0.0000  6 Ba 3.00



[7]
# Mn2InSnPd4

A PBEsol-optimized structure of Mn2InSnPd4 (meta-GGA SCAN, Alexandria via LeMat-Bulk).

Results
E_form   -56.9 kJ/mol of atoms
SG   R-3m
Energy   -241.6 eV for the cell shown

Unit cell a=4.4578 b=4.4578 c=7.7210 alpha=73.22 beta=73.22 gamma=60.00
Closest atoms and distances in Å follow each position.
Fractional coordinates of all 8 atoms:
Mn 0.2513 0.2513 0.2462  8 Pd 2.72-2.75
Mn 0.7487 0.7487 0.7538  8 Pd 2.72-2.75
In 0.0000 0.0000 0.0000  8 Pd 2.74-2.75
Sn 0.5000 0.5000 0.5000  8 Pd 2.71-2.72
Pd 0.6242 0.6242 0.1274  1 Sn 2.71, 4 Mn 2.72, 3 In 2.74
Pd 0.1259 0.1259 0.6222  3 Sn 2.72, 4 Mn 2.74-2.75, 1 In 2.75
Pd 0.8741 0.8741 0.3778  3 Sn 2.72, 4 Mn 2.74-2.75, 1 In 2.75
Pd 0.3758 0.3758 0.8726  1 Sn 2.71, 4 Mn 2.72, 3 In 2.74



[8]
# TePb2

A PBEsol-optimized structure of TePb2 (meta-GGA SCAN, Alexandria via LeMat-Bulk).

Results
E_form (uncorrected)   0.02 eV per atom
E above lowest polymorph   8.6 kJ/mol of atoms
SG   P6_3/mmc
Energy   -377.5 eV for the cell shown

Unit cell a=5.0256 b=5.0256 c=8.8552 alpha=90.00 beta=90.00 gamma=120.00
Closest atoms and distances in Å follow each position.
Fractional coordinates of all 6 atoms:
Pb 0.3333 0.6667 0.5723  4 Pb 3.15-3.17, 3 Te 3.30
Pb 0.6667 0.3333 0.0723  4 Pb 3.15-3.17, 3 Te 3.30
Pb 0.6667 0.3333 0.4277  4 Pb 3.15-3.17, 3 Te 3.30
Pb 0.3333 0.6667 0.9277  4 Pb 3.15-3.17, 3 Te 3.30
Te 0.0000 0.0000 0.7500  6 Pb 3.30
Te 0.0000 0.0000 0.2500  6 Pb 3.30



[9]
# Hf3TcRh

A PBEsol-optimized structure of Hf3TcRh (meta-GGA SCAN, Alexandria via LeMat-Bulk).

Results
E_form   60.8 kJ/mol of atoms
SG   Pm-3m
Energy   -253.7 eV for the cell shown

Unit cell a=4.8051 b=4.8051 c=4.8051 alpha=90.00 beta=90.00 gamma=90.00
Closest atoms and distances in Å follow each position.
Fractional coordinates of all 5 atoms:
Rh 0.0000 0.0000 0.0000  6 Hf 2.40
Hf 0.0000 0.5000 0.0000  2 Rh 2.40
Hf 0.0000 0.0000 0.5000  2 Rh 2.40
Hf 0.5000 0.0000 0.0000  2 Rh 2.40
Tc 0.5000 0.5000 0.5000  12 Hf 3.40



[10]
# NaSe3N

A PBEsol-optimized structure of NaSe3N (meta-GGA SCAN, Alexandria via LeMat-Bulk).

Results
E_form (uncorrected)   1.63 eV per atom
SG   Pm-3m
Energy   -65.6 eV for the cell shown

Unit cell a=5.0669 b=5.0669 c=5.0669 alpha=90.00 beta=90.00 gamma=90.00
Closest atoms and distances in Å follow each position.
Fractional coordinates of all 5 atoms:
Na 0.0000 0.0000 0.0000  6 Se 2.53
Se 0.0000 0.5000 0.0000  2 Na 2.53
Se 0.0000 0.0000 0.5000  2 Na 2.53
Se 0.5000 0.0000 0.0000  2 Na 2.53
N 0.5000 0.5000 0.5000  12 Se 3.58



[11]
# CdAuSN2

A PBEsol-optimized structure of CdAuSN2 (meta-GGA SCAN, Alexandria via LeMat-Bulk).

Results
E_form (uncorrected)   1.32 eV per atom
E above lowest polymorph   0.0 kJ/mol of atoms
SG   P4/mmm
Energy   -121.2 eV for the cell shown

Unit cell a=3.7567 b=3.7567 c=6.8995 alpha=90.00 beta=90.00 gamma=90.00
Closest atoms and distances in Å follow each position.
Fractional coordinates of all 5 atoms:
S 0.0000 0.0000 0.5000  4 Cd 2.66
N 0.0000 0.5000 0.0000  2 Au 1.88
N 0.5000 0.0000 0.0000  2 Au 1.88
Au 0.0000 0.0000 0.0000  4 N 1.88
Cd 0.5000 0.5000 0.5000  4 S 2.66



[12]
# BeTeAuN2

A PBEsol-optimized structure of BeTeAuN2 (meta-GGA SCAN, Alexandria via LeMat-Bulk).

Results
E_form (uncorrected)   1.76 eV per atom
SG   P4/mmm
Energy   -120.5 eV for the cell shown

Unit cell a=3.7349 b=3.7349 c=7.7185 alpha=90.00 beta=90.00 gamma=90.00
Closest atoms and distances in Å follow each position.
Fractional coordinates of all 5 atoms:
Be 0.5000 0.5000 0.5000  4 Te 2.64
Te 0.0000 0.0000 0.5000  4 Be 2.64
Au 0.0000 0.0000 0.0000  4 N 1.87
N 0.0000 0.5000 0.0000  2 Au 1.87
N 0.5000 0.0000 0.0000  2 Au 1.87



Number 1: M_tot 0.000 μB per cell. Number 2: M_tot 0.000 μB per cell. Number 3: M_tot 21.001 μB per cell. Number 4: M_tot 0.000 μB per cell. Number 5: M_tot 0.000 μB per cell. Number 6: M_tot 0.010 μB per cell. Number 7: M_tot 8.742 μB per cell. Number 8: M_tot 0.000 μB per cell. Number 9: M_tot 0.002 μB per cell. Number 10: M_tot 3.715 μB per cell. Number 11: M_tot 3.131 μB per cell. Number 12: M_tot 0.000 μB per cell.